1.
Entry from Alexandria: an optimized crystal structure of Ho2Si4Mo3 (PBEsol).

Output
Energy relative to the elements, uncorrected = -0.7432 eV per atom
VASP energy = -8.32 eV per atom

```
data_Ho2Si4Mo3
_cell_length_a 6.6735
_cell_length_b 6.7789
_cell_length_c 6.8376
_cell_angle_alpha 90.00
_cell_angle_beta 90.00
_cell_angle_gamma 108.96
_space_group_name_H-M_alt 'P 1'
_space_group_IT_number 1
loop_
_space_group_symop_operation_xyz
'x,y,z'
loop_
_atom_site_label
_atom_site_type_symbol
_atom_site_fract_x
_atom_site_fract_y
_atom_site_fract_z
Ho1 Ho 0.4387 0.8099 0.3306
Ho2 Ho 0.0613 0.1901 0.8306
Ho3 Ho 0.5613 0.1901 0.6694
Ho4 Ho 0.9387 0.8099 0.1694
Si1 Si 0.1330 0.9107 0.5441
Si2 Si 0.3670 0.0893 0.0441
Si3 Si 0.8670 0.0893 0.4559
Si4 Si 0.6330 0.9107 0.9559
Si5 Si 0.1287 0.4966 0.1316
Si6 Si 0.3713 0.5034 0.6316
Si7 Si 0.8713 0.5034 0.8684
Si8 Si 0.6287 0.4966 0.3684
Mo1 Mo 0.0000 0.5000 0.5000
Mo2 Mo 0.5000 0.5000 0.0000
Mo3 Mo 0.2514 0.7503 0.8367
Mo4 Mo 0.2486 0.2497 0.3367
Mo5 Mo 0.7486 0.2497 0.1633
Mo6 Mo 0.7514 0.7503 0.6633
```


2.
Entry from Alexandria: an optimized crystal structure of HoN (PBEsol).

Output
Energy relative to the elements, uncorrected = -1.9232 eV per atom
VASP energy = -8.66 eV per atom

```
data_HoN
_cell_length_a 3.4085
_cell_length_b 3.4085
_cell_length_c 3.4085
_cell_angle_alpha 60.00
_cell_angle_beta 60.00
_cell_angle_gamma 60.00
_space_group_name_H-M_alt 'P 1'
_space_group_IT_number 1
loop_
_space_group_symop_operation_xyz
'x,y,z'
loop_
_atom_site_label
_atom_site_type_symbol
_atom_site_fract_x
_atom_site_fract_y
_atom_site_fract_z
Ho1 Ho 0.0000 0.0000 0.0000
N1 N 0.5000 0.5000 0.5000
```


3.
Entry from Alexandria: an optimized crystal structure of Ho3Te3N (PBEsol).

Output
Energy relative to the elements, uncorrected = -1.5387 eV per atom
VASP energy = -6.39 eV per atom

```
data_Ho3Te3N
_cell_length_a 7.9753
_cell_length_b 8.4862
_cell_length_c 11.7736
_cell_angle_alpha 90.00
_cell_angle_beta 90.00
_cell_angle_gamma 109.65
_space_group_name_H-M_alt 'P 1'
_space_group_IT_number 1
loop_
_space_group_symop_operation_xyz
'x,y,z'
loop_
_atom_site_label
_atom_site_type_symbol
_atom_site_fract_x
_atom_site_fract_y
_atom_site_fract_z
Ho1 Ho 0.4012 0.1414 0.9794
Ho2 Ho 0.5988 0.3586 0.4794
Ho3 Ho 0.5988 0.8586 0.0206
Ho4 Ho 0.4012 0.6414 0.5206
Ho5 Ho 0.1561 0.2053 0.5885
Ho6 Ho 0.8439 0.2947 0.0885
Ho7 Ho 0.8439 0.7947 0.4115
Ho8 Ho 0.1561 0.7053 0.9115
Ho9 Ho 0.2324 0.3421 0.2909
Ho10 Ho 0.7676 0.1579 0.7909
Ho11 Ho 0.7676 0.6579 0.7091
Ho12 Ho 0.2324 0.8421 0.2091
Te1 Te 0.2309 0.4204 0.0204
Te2 Te 0.7691 0.0796 0.5204
Te3 Te 0.7691 0.5796 0.9796
Te4 Te 0.2309 0.9204 0.4796
Te5 Te 0.4890 0.3125 0.7353
Te6 Te 0.5110 0.1875 0.2353
Te7 Te 0.5110 0.6875 0.2647
Te8 Te 0.4890 0.8125 0.7647
Te9 Te 0.0469 0.4869 0.6885
Te10 Te 0.9531 0.0131 0.1885
Te11 Te 0.9531 0.5131 0.3115
Te12 Te 0.0469 0.9869 0.8115
N1 N 0.3256 0.3768 0.4654
N2 N 0.6744 0.1232 0.9654
N3 N 0.6744 0.6232 0.5346
N4 N 0.3256 0.8768 0.0346
```


4.
Entry from Alexandria: an optimized crystal structure of NaHoP4O12 (PBEsol).

Output
Energy relative to the elements, uncorrected = -2.4695 eV per atom
VASP energy = -7.61 eV per atom

```
data_NaHoP4O12
_cell_length_a 7.1640
_cell_length_b 9.6736
_cell_length_c 13.0227
_cell_angle_alpha 90.00
_cell_angle_beta 90.00
_cell_angle_gamma 89.31
_space_group_name_H-M_alt 'P 1'
_space_group_IT_number 1
loop_
_space_group_symop_operation_xyz
'x,y,z'
loop_
_atom_site_label
_atom_site_type_symbol
_atom_site_fract_x
_atom_site_fract_y
_atom_site_fract_z
Na1 Na 0.4995 0.0617 0.2760
Na2 Na 0.9995 0.5617 0.2240
Na3 Na 0.5005 0.9383 0.7240
Na4 Na 0.0005 0.4383 0.7760
Ho1 Ho 0.9874 0.9776 0.2796
Ho2 Ho 0.4874 0.4776 0.2204
Ho3 Ho 0.0126 0.0224 0.7204
Ho4 Ho 0.5126 0.5224 0.7796
P1 P 0.3506 0.8025 0.1286
P2 P 0.8506 0.3025 0.3714
P3 P 0.6494 0.1975 0.8714
P4 P 0.1494 0.6975 0.6286
P5 P 0.7494 0.7442 0.1042
P6 P 0.2494 0.2442 0.3958
P7 P 0.2506 0.2558 0.8958
P8 P 0.7506 0.7558 0.6042
P9 P 0.8727 0.7355 0.8841
P10 P 0.3727 0.2355 0.6159
P11 P 0.1273 0.2645 0.1159
P12 P 0.6273 0.7645 0.3841
P13 P 0.2665 0.7961 0.9070
P14 P 0.7665 0.2961 0.5930
P15 P 0.7335 0.2039 0.0930
P16 P 0.2335 0.7039 0.4070
O1 O 0.7074 0.8987 0.3495
O2 O 0.2074 0.3987 0.1505
O3 O 0.2926 0.1013 0.6505
O4 O 0.7926 0.6013 0.8495
O5 O 0.2117 0.0923 0.3872
O6 O 0.7117 0.5923 0.1128
O7 O 0.7883 0.9077 0.6128
O8 O 0.2883 0.4077 0.8872
O9 O 0.2715 0.8934 0.2112
O10 O 0.7715 0.3934 0.2888
O11 O 0.7285 0.1066 0.7888
O12 O 0.2285 0.6066 0.7112
O13 O 0.3263 0.6495 0.1334
O14 O 0.8263 0.1495 0.3666
O15 O 0.6737 0.3505 0.8666
O16 O 0.1737 0.8505 0.6334
O17 O 0.2810 0.8625 0.0202
O18 O 0.7810 0.3625 0.4798
O19 O 0.7190 0.1375 0.9798
O20 O 0.2190 0.6375 0.5202
O21 O 0.5692 0.8382 0.1277
O22 O 0.0692 0.3382 0.3723
O23 O 0.4308 0.1618 0.8723
O24 O 0.9308 0.6618 0.6277
O25 O 0.9084 0.7987 0.1674
O26 O 0.4084 0.2987 0.3326
O27 O 0.0916 0.2013 0.8326
O28 O 0.5916 0.7013 0.6674
O29 O 0.7802 0.7900 0.9875
O30 O 0.2802 0.2900 0.5125
O31 O 0.2198 0.2100 0.0125
O32 O 0.7198 0.7100 0.4875
O33 O 0.0841 0.7019 0.9181
O34 O 0.5841 0.2019 0.5819
O35 O 0.9159 0.2981 0.0819
O36 O 0.4159 0.7981 0.4181
O37 O 0.8670 0.8543 0.8111
O38 O 0.3670 0.3543 0.6889
O39 O 0.1330 0.1457 0.1889
O40 O 0.6330 0.6457 0.3111
O41 O 0.4293 0.7016 0.8865
O42 O 0.9293 0.2016 0.6135
O43 O 0.5707 0.2984 0.1135
O44 O 0.0707 0.7984 0.3865
O45 O 0.2338 0.9154 0.8356
O46 O 0.7338 0.4154 0.6644
O47 O 0.7662 0.0846 0.1644
O48 O 0.2662 0.5846 0.3356
```


5.
Entry from Alexandria: an optimized crystal structure of Na2HoPWO8 (PBEsol).

Output
Energy relative to the elements, uncorrected = -2.5497 eV per atom
VASP energy = -7.88 eV per atom

```
data_Na2HoPWO8
_cell_length_a 6.8415
_cell_length_b 11.3569
_cell_length_c 11.3569
_cell_angle_alpha 63.89
_cell_angle_beta 72.47
_cell_angle_gamma 72.47
_space_group_name_H-M_alt 'P 1'
_space_group_IT_number 1
loop_
_space_group_symop_operation_xyz
'x,y,z'
loop_
_atom_site_label
_atom_site_type_symbol
_atom_site_fract_x
_atom_site_fract_y
_atom_site_fract_z
Na1 Na 0.1486 0.2916 0.3995
Na2 Na 0.1603 0.8995 0.7916
Na3 Na 0.3514 0.6005 0.7084
Na4 Na 0.3397 0.2084 0.1005
Na5 Na 0.8514 0.7084 0.6005
Na6 Na 0.8397 0.1005 0.2084
Na7 Na 0.6486 0.3995 0.2916
Na8 Na 0.6603 0.7916 0.8995
Ho1 Ho 0.2500 0.3208 0.6792
Ho2 Ho 0.7500 0.1792 0.8208
Ho3 Ho 0.7500 0.6792 0.3208
Ho4 Ho 0.2500 0.8208 0.1792
P1 P 0.7500 0.9323 0.0677
P2 P 0.2500 0.5677 0.4323
P3 P 0.2500 0.0677 0.9323
P4 P 0.7500 0.4323 0.5677
W1 W 0.3232 0.9268 0.4268
W2 W 0.1768 0.5732 0.0732
W3 W 0.6768 0.0732 0.5732
W4 W 0.8232 0.4268 0.9268
O1 O 0.8275 0.9405 0.9224
O2 O 0.3095 0.4224 0.4405
O3 O 0.6725 0.0776 0.0595
O4 O 0.1905 0.5595 0.5776
O5 O 0.1725 0.0595 0.0776
O6 O 0.6905 0.5776 0.5595
O7 O 0.3275 0.9224 0.9405
O8 O 0.8095 0.4405 0.4224
O9 O 0.5801 0.8451 0.1417
O10 O 0.4331 0.6417 0.3451
O11 O 0.9199 0.8583 0.1549
O12 O 0.0669 0.6549 0.3583
O13 O 0.4199 0.1549 0.8583
O14 O 0.5669 0.3583 0.6549
O15 O 0.0801 0.1417 0.8451
O16 O 0.9331 0.3451 0.6417
O17 O 0.5935 0.8474 0.3929
O18 O 0.1663 0.8929 0.3474
O19 O 0.9065 0.6071 0.1526
O20 O 0.3337 0.6526 0.1071
O21 O 0.4065 0.1526 0.6071
O22 O 0.8337 0.1071 0.6526
O23 O 0.0935 0.3929 0.8474
O24 O 0.6663 0.3474 0.8929
O25 O 0.2297 0.8594 0.6027
O26 O 0.3081 0.1027 0.3594
O27 O 0.2703 0.3973 0.1406
O28 O 0.1919 0.6406 0.8973
O29 O 0.7703 0.1406 0.3973
O30 O 0.6919 0.8973 0.6406
O31 O 0.7297 0.6027 0.8594
O32 O 0.8081 0.3594 0.1027
```


6.
Entry from Alexandria: an optimized crystal structure of NaHo9Si6O26 (PBEsol).

Output
Energy relative to the elements, uncorrected = -3.3136 eV per atom
VASP energy = -8.48 eV per atom

```
data_NaHo9Si6O26
_cell_length_a 6.7192
_cell_length_b 9.2602
_cell_length_c 9.2602
_cell_angle_alpha 120.00
_cell_angle_beta 90.00
_cell_angle_gamma 90.00
_space_group_name_H-M_alt 'P 1'
_space_group_IT_number 1
loop_
_space_group_symop_operation_xyz
'x,y,z'
loop_
_atom_site_label
_atom_site_type_symbol
_atom_site_fract_x
_atom_site_fract_y
_atom_site_fract_z
Na1 Na 0.4953 0.0000 0.0000
Ho1 Ho 0.7491 0.9015 0.5661
Ho2 Ho 0.7491 0.4339 0.3354
Ho3 Ho 0.7491 0.6646 0.0985
Ho4 Ho 0.2512 0.4278 0.0995
Ho5 Ho 0.2512 0.9005 0.3283
Ho6 Ho 0.2512 0.6717 0.5722
Ho7 Ho 0.9976 0.3333 0.6667
Ho8 Ho 0.5000 0.3333 0.6667
Ho9 Ho 0.0017 0.0000 0.0000
Si1 Si 0.7500 0.0383 0.3034
Si2 Si 0.7500 0.6966 0.7349
Si3 Si 0.7500 0.2651 0.9617
Si4 Si 0.2464 0.2962 0.3601
Si5 Si 0.2464 0.6399 0.9362
Si6 Si 0.2464 0.0638 0.7038
O1 O 0.7581 0.6667 0.3333
O2 O 0.2510 0.6667 0.3333
O3 O 0.7476 0.1626 0.5057
O4 O 0.7476 0.4943 0.6569
O5 O 0.7476 0.3431 0.8374
O6 O 0.2372 0.1882 0.1607
O7 O 0.2372 0.8393 0.0275
O8 O 0.2372 0.9725 0.8118
O9 O 0.2504 0.1936 0.4630
O10 O 0.2504 0.5370 0.7305
O11 O 0.2504 0.2695 0.8064
O12 O 0.7655 0.1450 0.2081
O13 O 0.7655 0.7919 0.9368
O14 O 0.7655 0.0632 0.8550
O15 O 0.9418 0.9120 0.2448
O16 O 0.9418 0.7552 0.6672
O17 O 0.9418 0.3328 0.0880
O18 O 0.4421 0.4184 0.4288
O19 O 0.4421 0.5712 0.9897
O20 O 0.4421 0.0103 0.5816
O21 O 0.0545 0.4226 0.4374
O22 O 0.0545 0.5626 0.9852
O23 O 0.0545 0.0148 0.5774
O24 O 0.5629 0.9092 0.2508
O25 O 0.5629 0.7492 0.6583
O26 O 0.5629 0.3417 0.0908
```


7.
Entry from Alexandria: an optimized crystal structure of HoNbO4 (PBEsol).

Output
Energy relative to the elements, uncorrected = -3.1412 eV per atom
VASP energy = -9.27 eV per atom

```
data_HoNbO4
_cell_length_a 5.0696
_cell_length_b 5.2579
_cell_length_c 6.4699
_cell_angle_alpha 112.00
_cell_angle_beta 111.03
_cell_angle_gamma 94.65
_space_group_name_H-M_alt 'P 1'
_space_group_IT_number 1
loop_
_space_group_symop_operation_xyz
'x,y,z'
loop_
_atom_site_label
_atom_site_type_symbol
_atom_site_fract_x
_atom_site_fract_y
_atom_site_fract_z
Nb1 Nb 0.6440 0.3940 0.7879
Nb2 Nb 0.3560 0.6060 0.2121
Ho1 Ho 0.1211 0.8711 0.7421
Ho2 Ho 0.8789 0.1289 0.2579
O1 O 0.9329 0.2205 0.9388
O2 O 0.2115 0.5511 0.4255
O3 O 0.7140 0.8744 0.4255
O4 O 0.5059 0.7183 0.9388
O5 O 0.4941 0.2817 0.0612
O6 O 0.2860 0.1256 0.5745
O7 O 0.7885 0.4489 0.5745
O8 O 0.0671 0.7795 0.0612
```


8.
Entry from Alexandria: an optimized crystal structure of Ho2ScNbO7 (PBEsol).

Output
Energy relative to the elements, uncorrected = -3.3010 eV per atom
VASP energy = -9.13 eV per atom

```
data_Ho2ScNbO7
_cell_length_a 7.1774
_cell_length_b 7.2671
_cell_length_c 7.2671
_cell_angle_alpha 60.94
_cell_angle_beta 60.41
_cell_angle_gamma 60.41
_space_group_name_H-M_alt 'P 1'
_space_group_IT_number 1
loop_
_space_group_symop_operation_xyz
'x,y,z'
loop_
_atom_site_label
_atom_site_type_symbol
_atom_site_fract_x
_atom_site_fract_y
_atom_site_fract_z
Ho1 Ho 0.0000 0.0000 0.5000
Ho2 Ho 0.5000 0.0000 0.5000
Ho3 Ho 0.5000 0.0000 0.0000
Ho4 Ho 0.5000 0.5000 0.5000
Sc1 Sc 0.5000 0.5000 0.0000
Sc2 Sc 0.0000 0.5000 0.0000
Nb1 Nb 0.0000 0.5000 0.5000
Nb2 Nb 0.0000 0.0000 0.0000
O1 O 0.3330 0.8459 0.9021
O2 O 0.3330 0.4021 0.3459
O3 O 0.3515 0.3985 0.8985
O4 O 0.9190 0.4021 0.3459
O5 O 0.9190 0.8459 0.9021
O6 O 0.9244 0.8256 0.3256
O7 O 0.6670 0.1541 0.0979
O8 O 0.6670 0.5979 0.6541
O9 O 0.6485 0.6015 0.1015
O10 O 0.0810 0.5979 0.6541
O11 O 0.0810 0.1541 0.0979
O12 O 0.0756 0.1744 0.6744
O13 O 0.6284 0.1216 0.6216
O14 O 0.3716 0.8784 0.3784
```


Magnetization (μB per atom)
0.000, 0.000, 0.000, 0.000, 0.000, 0.000, 0.000, 0.000